First-principles (PBE) data for a relaxed structure of TmFe4Si2, as listed in Alexandria.

ΔE_f (raw) ... -0.472 eV/atom

Lattice parameters (Å, degrees): 7.0243 7.0243 3.7420 90.00 90.00 90.00
With the nearest neighbours (Å) after each atom.
Fractional positions:
Fe: 0.9134 0.6478 0.5000  3 Si 2.34-2.37, 5 Fe 2.41-2.53
Fe: 0.3522 0.0866 0.5000  3 Si 2.34-2.37, 5 Fe 2.41-2.53
Fe: 0.4134 0.8522 0.0000  3 Si 2.34-2.37, 5 Fe 2.41-2.53
Si: 0.7815 0.2185 0.5000  6 Fe 2.34-2.37
Fe: 0.8522 0.4134 0.0000  3 Si 2.34-2.37, 5 Fe 2.41-2.53
Tm: 0.5000 0.5000 0.5000  6 Si 2.80-2.87, 4 Fe 3.08
Tm: 0.0000 0.0000 0.0000  6 Si 2.80-2.87, 4 Fe 3.08
Fe: 0.0866 0.3522 0.5000  3 Si 2.34-2.37, 5 Fe 2.41-2.53
Fe: 0.1478 0.5866 0.0000  3 Si 2.34-2.37, 5 Fe 2.41-2.53
Si: 0.2185 0.7815 0.5000  6 Fe 2.34-2.37
Fe: 0.6478 0.9134 0.5000  3 Si 2.34-2.37, 5 Fe 2.41-2.53
Si: 0.2815 0.2815 0.0000  6 Fe 2.34-2.37
Si: 0.7185 0.7185 0.0000  6 Fe 2.34-2.37
Fe: 0.5866 0.1478 0.0000  3 Si 2.34-2.37, 5 Fe 2.41-2.53

=====

First-principles (PBE) data for a relaxed structure of La2MgGeH, as listed in Alexandria.

Energy ... -4.327 eV per atom

Lattice parameters (Å, degrees): 4.9415 4.9415 4.4987 90.00 90.00 90.00
With the nearest neighbours (Å) after each atom.
Fractional positions:
Ge: 0.5000 0.5000 0.5000  8 La 3.34, 4 Mg 3.49
La: 0.5000 0.0000 0.0000  2 H 2.47
Mg: 0.0000 0.0000 0.5000  2 H 2.25
La: 0.0000 0.5000 0.0000  2 H 2.47
H: 0.0000 0.0000 0.0000  2 Mg 2.25, 4 La 2.47

=====

First-principles (PBE) data for a relaxed structure of Nb2AlPdPb, as listed in Alexandria.

DFT formation energy ... 702 meV per atom

Lattice parameters (Å, degrees): 4.9909 4.5598 4.9909 90.00 90.00 90.00
With the nearest neighbours (Å) after each atom.
Fractional positions:
Pd: 0.0000 0.0000 0.0000  2 Al 2.28, 4 Nb 2.50
Nb: 0.5000 0.0000 0.0000  2 Pd 2.50
Al: 0.0000 0.5000 0.0000  2 Pd 2.28
Nb: 0.0000 0.0000 0.5000  2 Pd 2.50
Pb: 0.5000 0.5000 0.5000  8 Nb 3.38, 4 Al 3.53

=====

First-principles (PBE) data for a relaxed structure of CeEuHoTm, as listed in Alexandria.

DFT formation energy ... 216 meV per atom

Lattice parameters (Å, degrees): 5.7154 5.7154 5.7154 60.00 60.00 60.00
With the nearest neighbours (Å) after each atom.
Fractional positions:
Eu: 0.0000 0.0000 0.0000  4 Tm 3.50, 4 Ho 3.50
Tm: 0.2500 0.2500 0.2500  4 Ce 3.50, 4 Eu 3.50
Ce: 0.5000 0.5000 0.5000  4 Ho 3.50, 4 Tm 3.50
Ho: 0.7500 0.7500 0.7500  4 Ce 3.50, 4 Eu 3.50

=====

Which formula does entry 2 have?
La2MgGeH

=====

Which formula does entry 4 have?
CeEuHoTm